[1]
## BaNa2TlO (GGA-PBE)

Data for BaNa2TlO after structural relaxation.

Results
- Formation energy (no corrections): -247 meV/atom
- Total moment: 0.000 μB/atom
- Mass density: 2.92 g cm⁻³
- Crystal system: tetragonal
- Symmetry: P4/mmm (123)

```
BaNa2TlO
1.0
7.066 0.000 0.000
0.000 7.066 0.000
0.000 0.000 4.595
Ba Na Tl O
1 2 1 1
Cartesian
0.000 0.000 0.000
0.000 3.533 0.000
3.533 0.000 0.000
3.533 3.533 2.297
0.000 0.000 2.297
```


[2]
## BeRu (GGA-PBE)

Data for BeRu after structural relaxation.

Results
- Total moment: 0.000 μB/atom
- Mass density: 8.24 g cm⁻³
- Crystal system: monoclinic
- Symmetry: C2/m (12)
- Energy: -6.661 eV per atom

```
BeRu
1.0
4.471 -1.395 0.000
4.471 1.395 0.000
-2.148 0.000 5.337
Be Ru
3 3
Cartesian
0.000 0.000 0.000
2.782 0.000 0.774
4.011 0.000 4.562
-1.074 0.000 2.668
1.401 0.000 3.758
5.392 0.000 1.578
```


Q: Among the records above, which one has the lowest mass density?
A: BaNa2TlO


Q: Look up the total moment of the first one.
A: 0.000 μB/atom